Hf2MnCoHg, optimized geometry, DFT PBE; density of states at the Fermi level = 1.191 states/eV per atom; SG = P4/mmm; raw total energy = -0.47637 Ry per atom; ΔH_f (0 K) = 78.7 kJ/mol of atoms
1.0
4.6331 0.0000 0.0000
0.0000 4.6331 0.0000
0.0000 0.0000 4.9288
Hf Mn Co Hg
2 1 1 1
direct
0.0000 0.5000 0.0000
0.5000 0.0000 0.0000
0.0000 0.0000 0.0000
0.5000 0.5000 0.5000
0.0000 0.0000 0.5000